[1]
Below is a relaxed structure of NaCa2TlF8, with properties calculated at the PBE-GGA level.

Cell and atoms, written as extended XYZ:
```
12
Lattice="3.965 0.000 0.000 0.000 5.500 0.000 0.000 0.000 7.727" Properties=species:S:1:pos:R:3 pbc="T T T"
Na 0.000 0.000 0.000
Ca 1.983 2.750 1.821
Ca 1.983 2.750 5.906
Tl 0.000 0.000 3.863
F 0.000 1.387 2.094
F 0.000 1.387 5.633
F 0.000 4.113 2.094
F 0.000 4.113 5.633
F 1.983 1.331 3.863
F 1.983 1.419 0.000
F 1.983 4.080 0.000
F 1.983 4.169 3.863
```

DOS(E_F): 0.00 states/eV/cell
Space-group type: Pmmm (47)
Crystal system: orthorhombic
Total magnetization: 0.000 μB/f.u.
E_form (uncorrected): -36.44 eV per formula unit

***

[2]
Below is a relaxed structure of Na2CaTlF8, with properties calculated at the PBE-GGA level.

Cell and atoms, written as extended XYZ:
```
12
Lattice="3.895 0.000 0.000 0.000 5.567 0.000 0.000 0.000 7.687" Properties=species:S:1:pos:R:3 pbc="T T T"
Na 0.000 0.000 1.910
Na 0.000 0.000 5.777
Ca 1.948 2.783 3.843
Tl 1.948 2.783 0.000
F 0.000 1.454 3.843
F 0.000 1.480 0.000
F 0.000 4.087 0.000
F 0.000 4.113 3.843
F 1.948 1.466 1.849
F 1.948 1.466 5.838
F 1.948 4.101 1.849
F 1.948 4.101 5.838
```

DOS(E_F): 11.99 states/eV/cell
Space-group type: Pmmm (47)
Crystal system: orthorhombic
Total magnetization: 1.125 μB/f.u.
E_form (uncorrected): -30.00 eV per formula unit

***

[3]
Below is a relaxed structure of NaCaUF6, with properties calculated at the PBE-GGA level.

Cell and atoms, written as extended XYZ:
```
18
Lattice="5.977 0.000 0.000 -2.989 5.176 0.000 0.000 0.000 9.796" Properties=species:S:1:pos:R:3 pbc="T T T"
Na 0.000 3.451 2.449
Na 2.989 1.725 7.347
Ca 0.000 0.000 0.000
Ca 0.000 0.000 4.898
U 0.000 3.451 7.347
U 2.989 1.725 2.449
F -0.947 1.681 6.155
F -2.006 3.516 8.539
F 0.947 1.681 8.539
F -1.060 5.156 6.155
F 1.929 0.021 1.257
F 0.982 1.660 3.641
F 2.006 3.516 6.155
F 1.060 5.156 8.539
F 4.048 0.021 3.641
F 2.042 3.496 1.257
F 4.995 1.660 1.257
F 3.935 3.496 3.641
```

DOS(E_F): 23.74 states/eV/cell
Space-group type: P-31c (163)
Crystal system: trigonal
Total magnetization: 2.994 μB/f.u.
E_form (uncorrected): -30.33 eV per formula unit

***

[4]
Below is a relaxed structure of Na2CaUF8, with properties calculated at the PBE-GGA level.

Cell and atoms, written as extended XYZ:
```
12
Lattice="3.942 0.000 0.000 0.000 5.621 0.000 0.000 0.000 7.822" Properties=species:S:1:pos:R:3 pbc="T T T"
Na 0.000 0.000 1.746
Na 0.000 0.000 6.076
Ca 1.971 2.810 0.000
U 1.971 2.810 3.911
F 0.000 1.490 0.000
F 0.000 1.537 3.911
F 0.000 4.084 3.911
F 0.000 4.131 0.000
F 1.971 1.485 2.108
F 1.971 1.485 5.714
F 1.971 4.136 2.108
F 1.971 4.136 5.714
```

DOS(E_F): 5.62 states/eV/cell
Space-group type: Pmmm (47)
Crystal system: orthorhombic
Total magnetization: 2.000 μB/f.u.
E_form (uncorrected): -41.03 eV per formula unit